Entry 1:
This record from the Alexandria database describes an optimized crystal structure of DyZn6Ni4. The functional is GGA-PBE.

Properties
crystal system = tetragonal
formation enthalpy at 0 K = -0.16 eV per atom
D(E_F) = 13.1 states/eV per cell
calculated total energy = -74.3 eV for the cell shown

Cell lengths 6.250, 6.250, 9.000 Å; angles 90.00, 90.00, 90.00 degrees
Space group I-42m (No. 121)
Symmetry-distinct sites (fractional):
Dy: 0.000 0.000 0.000 (multiplicity 2)
Zn: 0.000 0.500 0.000 (multiplicity 4)
Zn: 0.190 0.190 0.706 (multiplicity 8)
Ni: 0.164 0.164 0.428 (multiplicity 8)

Entry 2:
This record from the Alexandria database describes an optimized crystal structure of Zr2ScRh. The functional is GGA-PBE.

Properties
crystal system = trigonal
formation enthalpy at 0 K = -0.20 eV per atom
D(E_F) = 11.4 states/eV per cell
calculated total energy = -94.7 eV for the cell shown

Cell lengths 3.2074, 3.2074, 28.3145 Å; angles 90.00, 90.00, 120.00 degrees
Space group R-3m (No. 166, hexagonal axes)
Symmetry-distinct sites (fractional):
Zr: 0.0000 0.0000 0.2399 (multiplicity 6)
Sc: 0.0000 0.0000 0.0000 (multiplicity 3)
Rh: 0.0000 0.0000 0.5000 (multiplicity 3)

Entry 3:
This record from the Alexandria database describes an optimized crystal structure of KNiMo2Se8. The functional is GGA-PBE.

Properties
crystal system = trigonal
energy relative to the elements, uncorrected = -3.5 eV/f.u.
D(E_F) = 21.2 states/eV per cell
calculated total energy = -179.8 eV for the cell shown

Cell lengths 6.2786, 6.2786, 29.4882 Å; angles 90.00, 90.00, 120.00 degrees
Space group R-3 (No. 148, hexagonal axes)
Symmetry-distinct sites (fractional):
K: 0.0000 0.0000 0.0000 (multiplicity 3)
Ni: 0.0000 0.0000 0.5000 (multiplicity 3)
Mo: 0.0000 0.0000 0.2419 (multiplicity 6)
Se: 0.0000 0.0000 0.3205 (multiplicity 6)
Se: 0.0094 0.3600 0.2164 (multiplicity 18)

Entry 4:
This record from the Alexandria database describes an optimized crystal structure of ScOs2Au. The functional is GGA-PBE.

Properties
crystal system = trigonal
formation enthalpy at 0 K = 0.19 eV per atom
D(E_F) = 13.7 states/eV per cell
calculated total energy = -93.9 eV for the cell shown
ΔE to the lowest computed polymorph = 284 meV per atom

Cell lengths 2.8947, 2.8947, 27.5076 Å; angles 90.00, 90.00, 120.00 degrees
Space group R3m (No. 160, hexagonal axes)
Symmetry-distinct sites (fractional):
Sc: 0.0000 0.0000 0.0000 (multiplicity 3)
Os: 0.0000 0.0000 0.2489 (multiplicity 3)
Os: 0.0000 0.0000 0.5090 (multiplicity 3)
Au: 0.0000 0.0000 0.7534 (multiplicity 3)

Entry 5:
This record from the Alexandria database describes an optimized crystal structure of TlAsRuAu2. The functional is GGA-PBE.

Properties
crystal system = tetragonal
formation enthalpy at 0 K = 1.11 eV per atom
D(E_F) = 6.3 states/eV per cell
calculated total energy = -17.3 eV for the cell shown

Cell lengths 4.811, 4.811, 5.503 Å; angles 90.00, 90.00, 90.00 degrees
Space group P4/mmm (No. 123)
Symmetry-distinct sites (fractional):
Tl: 0.000 0.000 0.000 (multiplicity 1)
As: 0.000 0.000 0.500 (multiplicity 1)
Ru: 0.500 0.500 0.000 (multiplicity 1)
Au: 0.000 0.500 0.500 (multiplicity 2)

Entry 6:
This record from the Alexandria database describes an optimized crystal structure of ThSc2As3. The functional is GGA-PBE.

Properties
crystal system = orthorhombic
formation enthalpy at 0 K = -1.35 eV per atom
D(E_F) = 4.0 states/eV per cell
calculated total energy = -84.3 eV for the cell shown

Cell lengths 4.025, 5.775, 11.962 Å; angles 90.00, 90.00, 90.00 degrees
Space group Immm (No. 71)
Symmetry-distinct sites (fractional):
Th: 0.000 0.000 0.000 (multiplicity 2)
Sc: 0.000 0.000 0.337 (multiplicity 4)
As: 0.000 0.500 0.000 (multiplicity 2)
As: 0.000 0.500 0.320 (multiplicity 4)

Entry 7:
This record from the Alexandria database describes an optimized crystal structure of LaMgSb2Te. The functional is GGA-PBE.

Properties
crystal system = tetragonal
energy relative to the elements, uncorrected = -1.2 eV/f.u.
D(E_F) = 4.1 states/eV per cell
calculated total energy = -19.1 eV for the cell shown
ΔE to the lowest computed polymorph = 0 meV per atom

Cell lengths 5.333, 5.333, 5.541 Å; angles 90.00, 90.00, 90.00 degrees
Space group P4/mmm (No. 123)
Symmetry-distinct sites (fractional):
La: 0.000 0.000 0.000 (multiplicity 1)
Mg: 0.500 0.500 0.500 (multiplicity 1)
Sb: 0.000 0.500 0.500 (multiplicity 2)
Te: 0.500 0.500 0.000 (multiplicity 1)

Entry 8:
This record from the Alexandria database describes an optimized crystal structure of MgRe2Mo. The functional is GGA-PBE.

Properties
crystal system = tetragonal
formation enthalpy at 0 K = 0.92 eV per atom
D(E_F) = 8.8 states/eV per cell
calculated total energy = -134.6 eV for the cell shown

Cell lengths 7.339, 7.339, 5.322 Å; angles 90.00, 90.00, 90.00 degrees
Space group I-42d (No. 122)
Symmetry-distinct sites (fractional):
Mg: 0.000 0.000 0.000 (multiplicity 4)
Re: 0.208 0.750 0.625 (multiplicity 8)
Mo: 0.000 0.000 0.500 (multiplicity 4)

Entry 9:
This record from the Alexandria database describes an optimized crystal structure of Gd2LuBi. The functional is GGA-PBE.

Properties
crystal system = tetragonal
formation enthalpy at 0 K = -0.39 eV per atom
D(E_F) = 4.3 states/eV per cell
calculated total energy = -38.1 eV for the cell shown
ΔE to the lowest computed polymorph = 0 meV per atom

Cell lengths 4.126, 4.126, 7.054 Å; angles 90.00, 90.00, 90.00 degrees
Space group P4/mmm (No. 123)
Symmetry-distinct sites (fractional):
Gd: 0.000 0.000 0.236 (multiplicity 2)
Lu: 0.500 0.500 0.500 (multiplicity 1)
Bi: 0.500 0.500 0.000 (multiplicity 1)

Entry 10:
This record from the Alexandria database describes an optimized crystal structure of NbTe2I. The functional is GGA-PBE.

Properties
crystal system = monoclinic
energy relative to the elements, uncorrected = -0.6 eV/f.u.
D(E_F) = 7.5 states/eV per cell
calculated total energy = -37.0 eV for the cell shown
ΔE to the lowest computed polymorph = 109 meV per atom

Cell lengths 6.161, 3.561, 11.124 Å; angles 90.00, 100.40, 90.00 degrees
Space group Cm (No. 8)
Symmetry-distinct sites (fractional):
Nb: 0.000 0.000 0.000 (multiplicity 2)
Te: 0.110 0.500 0.827 (multiplicity 2)
Te: 0.164 0.000 0.506 (multiplicity 2)
I: 0.224 0.500 0.177 (multiplicity 2)

Entry 11:
This record from the Alexandria database describes an optimized crystal structure of Zn3ReAs. The functional is GGA-PBE.

Properties
crystal system = cubic
formation enthalpy at 0 K = 1.36 eV per atom
D(E_F) = 3.6 states/eV per cell
calculated total energy = -14.1 eV for the cell shown
ΔE to the lowest computed polymorph = 201 meV per atom

Cell lengths 4.698, 4.698, 4.698 Å; angles 90.00, 90.00, 90.00 degrees
Space group Pm-3m (No. 221)
Symmetry-distinct sites (fractional):
Zn: 0.000 0.000 0.500 (multiplicity 3)
Re: 0.500 0.500 0.500 (multiplicity 1)
As: 0.000 0.000 0.000 (multiplicity 1)

Entry 12:
This record from the Alexandria database describes an optimized crystal structure of CrInIr. The functional is GGA-PBE.

Properties
crystal system = orthorhombic
formation enthalpy at 0 K = 0.13 eV per atom
D(E_F) = 7.4 states/eV per cell
calculated total energy = -41.6 eV for the cell shown

Cell lengths 2.978, 3.742, 8.890 Å; angles 90.00, 90.00, 90.00 degrees
Space group Imm2 (No. 44)
Symmetry-distinct sites (fractional):
Cr: 0.000 0.000 0.000 (multiplicity 2)
In: 0.000 0.000 0.685 (multiplicity 2)
Ir: 0.000 0.000 0.365 (multiplicity 2)